Arrangement i

Computed, not measured: a relaxed structure of NaTl2Bi at the GGA-PBE level of DFT.

POSCAR file:
```
NaTl2Bi
1.0
0.0000 3.9483 3.9483
3.9483 0.0000 3.9483
3.9483 3.9483 0.0000
Bi Tl Na
1 2 1
direct
0.5000 0.5000 0.5000 Bi
0.2500 0.2500 0.2500 Tl
0.7500 0.7500 0.7500 Tl
0.0000 0.0000 0.0000 Na
```

Properties
Space group ... Fm-3m (225)


Arrangement ii

Computed, not measured: a relaxed structure of NaTl2Bi at the GGA-PBE level of DFT.

POSCAR file:
```
NaTl2Bi
1.0
-2.6206 -4.1735 0.3571
2.1519 -4.1361 1.6357
-1.7747 -1.2405 6.6605
Tl Bi Na
2 1 1
direct
0.2532 0.2532 0.2403 Tl
0.0790 0.0790 0.7631 Tl
0.4935 0.4935 0.5196 Bi
0.6743 0.6743 0.9770 Na
```

Properties
Space group ... R3m (160)


Arrangement iii

Computed, not measured: a relaxed structure of NaTl2Bi at the GGA-PBE level of DFT.

POSCAR file:
```
NaTl2Bi
1.0
-4.6908 0.5921 1.2982
-1.3160 0.0181 -4.7633
-0.5801 -4.9056 0.1417
Bi Na Tl
1 1 2
direct
0.5000 0.5000 0.5000 Bi
0.5000 0.0000 0.0000 Na
0.0000 0.0000 0.5000 Tl
0.0000 0.5000 0.0000 Tl
```

Properties
Space group ... P4/mmm (123)


How far above the most stable structure does each one sit? In eV/atom: arrangement i 0.000; arrangement ii 0.112; arrangement iii 0.046.


Arrangement i

Computed, not measured: a relaxed structure of Na3Tl3Bi2 at the GGA-PBE level of DFT.

POSCAR file:
```
Na3Tl3Bi2
1.0
-1.0303 1.4916 5.9869
-6.1875 -0.0262 -0.9179
-0.0420 -6.1027 1.3728
Tl Bi Na
3 2 3
direct
0.5000 0.2468 0.2468 Tl
0.2468 0.7532 0.5000 Tl
0.7532 0.5000 0.7532 Tl
0.2466 0.2466 0.7534 Bi
0.7534 0.7534 0.2466 Bi
0.2558 0.7442 0.0000 Na
0.7442 0.0000 0.7442 Na
0.0000 0.2558 0.2558 Na
```

Properties
Space group ... R32 (155)


Arrangement ii

Computed, not measured: a relaxed structure of Na3Tl3Bi2 at the GGA-PBE level of DFT.

POSCAR file:
```
Na3Tl3Bi2
1.0
-0.8865 -4.8117 -0.6503
3.6168 1.1897 4.9977
-15.0795 1.3467 10.5923
Tl Bi Na
6 4 6
direct
0.6348 0.2696 0.4699 Tl
0.4178 0.8356 0.2500 Tl
0.5822 0.1644 0.7500 Tl
0.3652 0.7304 0.9699 Tl
0.6348 0.2696 0.0301 Tl
0.3652 0.7304 0.5301 Tl
0.7748 0.5496 0.8722 Bi
0.2252 0.4504 0.3722 Bi
0.2252 0.4504 0.1278 Bi
0.7748 0.5496 0.6278 Bi
0.9341 0.8681 0.1116 Na
0.0659 0.1319 0.8884 Na
0.6907 0.3815 0.2500 Na
0.3093 0.6185 0.7500 Na
0.0659 0.1319 0.6116 Na
0.9341 0.8681 0.3884 Na
```

Properties
Space group ... Cmcm (63)


How far above the most stable structure does each one sit? In eV/atom: arrangement i 0.000; arrangement ii 0.033.


Arrangement i

Computed, not measured: a relaxed structure of Na4TlBi2 at the GGA-PBE level of DFT.

POSCAR file:
```
Na4TlBi2
1.0
-3.4169 -2.4044 4.0107
-2.3609 -3.4008 -4.0500
2.6082 -8.3832 1.3780
Na Bi Tl
4 2 1
direct
0.0000 0.5000 0.0000 Na
0.8031 0.8031 0.3938 Na
0.5000 0.0000 0.0000 Na
0.1969 0.1969 0.6062 Na
0.6003 0.6003 0.7994 Bi
0.3997 0.3997 0.2006 Bi
0.0000 0.0000 0.0000 Tl
```

Properties
Space group ... I4/mmm (139)


Arrangement ii

Computed, not measured: a relaxed structure of Na4TlBi2 at the GGA-PBE level of DFT.

POSCAR file:
```
Na4TlBi2
1.0
5.9501 0.0000 0.0000
0.0000 5.9501 0.0000
-2.9750 -2.9750 6.6282
Tl Bi Na
1 2 4
direct
0.0000 0.0000 0.0000 Tl
0.3810 0.3810 0.7620 Bi
0.6190 0.6190 0.2380 Bi
0.0000 0.5000 0.0000 Na
0.2500 0.7500 0.5000 Na
0.7500 0.2500 0.5000 Na
0.5000 0.0000 0.0000 Na
```

Properties
Space group ... I4/mmm (139)


How far above the most stable structure does each one sit? In eV/atom: arrangement i 0.152; arrangement ii 0.000.


Arrangement i

Computed, not measured: a relaxed structure of Na4TlBi at the GGA-PBE level of DFT.

POSCAR file:
```
Na4TlBi
1.0
5.3044 -0.0015 0.0007
0.0017 6.6753 2.4199
-0.0011 0.1984 9.8694
Na Tl Bi
8 2 2
direct
0.2499 0.3001 0.4162 Na
0.7501 0.6999 0.5838 Na
0.2501 0.7838 0.4162 Na
0.7499 0.2162 0.5838 Na
0.7500 0.0450 0.9153 Na
0.2500 0.4603 0.0847 Na
0.2500 0.9550 0.0847 Na
0.7500 0.5397 0.9153 Na
0.7500 0.1178 0.2643 Tl
0.2500 0.8822 0.7357 Tl
0.2500 0.3706 0.7589 Bi
0.7500 0.6294 0.2411 Bi
```

Properties
Space group ... Cmcm (63)


Arrangement ii

Computed, not measured: a relaxed structure of Na4TlBi at the GGA-PBE level of DFT.

POSCAR file:
```
Na4TlBi
1.0
6.3677 0.0000 0.0000
3.1838 5.5146 0.0000
3.1838 1.8382 5.1992
Tl Na Bi
1 4 1
direct
0.0000 0.0000 0.0000 Tl
0.6247 0.1259 0.6247 Na
0.6247 0.6247 0.6247 Na
0.1259 0.6247 0.6247 Na
0.6247 0.6247 0.1259 Na
0.2500 0.2500 0.2500 Bi
```

Properties
Space group ... F-43m (216)


Arrangement iii

Computed, not measured: a relaxed structure of Na4TlBi at the GGA-PBE level of DFT.

POSCAR file:
```
Na4TlBi
1.0
5.4754 0.0000 0.0000
0.0000 9.1717 0.0000
-2.7377 0.0000 7.5845
Na Tl Bi
8 2 2
direct
0.2801 0.6660 0.5602 Na
0.1954 0.9911 0.3907 Na
0.7199 0.1660 0.4398 Na
0.9758 0.1803 0.9515 Na
0.8046 0.4911 0.6093 Na
0.0242 0.6803 0.0485 Na
0.4439 0.9441 0.8878 Na
0.5561 0.4441 0.1122 Na
0.6343 0.7931 0.2686 Tl
0.3657 0.2931 0.7314 Tl
0.8341 0.8588 0.6681 Bi
0.1659 0.3588 0.3319 Bi
```

Properties
Space group ... Cmc2_1 (36)


How far above the most stable structure does each one sit? In eV/atom: arrangement i 0.011; arrangement ii 0.156; arrangement iii 0.000.